Entry 1:
The following is a DFT calculation (GGA-PBE) of an optimized crystal structure of CaTaTe4.

a b c (Å): 6.314 6.314 6.314
angles (deg): 60.00 60.00 60.00
Fractional positions:
Te (0.375, 0.375, 0.876)
Te (0.375, 0.375, 0.375)
Te (0.375, 0.876, 0.375)
Te (0.876, 0.375, 0.375)
Ca (0.750, 0.750, 0.750)
Ta (0.000, 0.000, 0.000)

Entry 2:
The following is a DFT calculation (GGA-PBE) of an optimized crystal structure of CaTa2Te.

a b c (Å): 5.608 5.608 4.958
angles (deg): 77.31 77.31 35.56
Fractional positions:
Ta (0.487, 0.487, 0.533)
Ta (0.013, 0.013, 0.967)
Te (0.750, 0.750, 0.750)
Ca (0.250, 0.250, 0.250)

Entry 3:
The following is a DFT calculation (GGA-PBE) of an optimized crystal structure of Ca3TaTe.

a b c (Å): 5.790 5.790 5.790
angles (deg): 90.00 90.00 90.00
Fractional positions:
Ta (0.500, 0.500, 0.500)
Ca (0.500, 0.000, 0.000)
Ca (0.000, 0.000, 0.500)
Ca (0.000, 0.500, 0.000)
Te (0.000, 0.000, 0.000)

Entry 4:
The following is a DFT calculation (GGA-PBE) of an optimized crystal structure of CaTa2Te.

a b c (Å): 3.136 3.136 9.697
angles (deg): 90.00 90.00 109.00
Fractional positions:
Te (0.500, 0.500, 0.250)
Ta (0.000, 0.000, 0.472)
Ta (0.000, 0.000, 0.028)
Ca (0.500, 0.500, 0.750)

Entry 5:
The following is a DFT calculation (GGA-PBE) of an optimized crystal structure of CaTaTe3.

a b c (Å): 5.477 5.477 5.477
angles (deg): 90.00 90.00 90.00
Fractional positions:
Te (0.000, 0.000, 0.500)
Te (0.000, 0.500, 0.000)
Te (0.500, 0.000, 0.000)
Ta (0.000, 0.000, 0.000)
Ca (0.500, 0.500, 0.500)

Entry 6:
The following is a DFT calculation (GGA-PBE) of an optimized crystal structure of CaTa2Te.

a b c (Å): 4.885 4.885 6.327
angles (deg): 81.02 81.02 40.87
Fractional positions:
Ta (0.016, 0.016, 0.922)
Ta (0.750, 0.750, 0.769)
Ca (0.245, 0.245, 0.251)
Te (0.489, 0.489, 0.558)

no.,ΔE_f (raw) (eV per atom)
1,0.686
2,0.315
3,0.559
4,0.647
5,-0.280
6,0.250